No. 1
Compound: CaIrC
Source: Alexandria via LeMat-Bulk
Functional: PBE
Structure: relaxed

Unit cell a=5.9012 b=5.4421 c=5.4441 alpha=54.47 beta=57.16 gamma=57.19
Sites, in units of the cell vectors:
Ir 0.2106 0.0420 0.1806
Ir 0.7109 0.4936 0.7289
C 0.4608 0.2678 0.9548
C 0.9608 0.2678 0.9548
Ca 0.4607 0.2678 0.4548
Ca 0.9607 0.7678 0.9548

## Properties
formation energy from the elements = 0.11 eV/f.u.
polymorph energy (0 for the lowest one) = 119 meV/atom
uncorrected energy = -6.6586 eV per atom
volume = 56.39 Å³/f.u.


No. 2
Compound: CaIrC
Source: Alexandria via LeMat-Bulk
Functional: PBE
Structure: relaxed

Unit cell a=4.8342 b=3.3815 c=3.3815 alpha=120.00 beta=90.00 gamma=90.00
Sites, in units of the cell vectors:
Ca 0.7144 0.3333 0.6667
Ir 0.2027 0.0000 0.0000
C 0.0829 0.6667 0.3333

## Properties
formation energy from the elements = -0.03 eV/f.u.
polymorph energy (0 for the lowest one) = 71 meV/atom
uncorrected energy = -6.7065 eV per atom
volume = 47.87 Å³/f.u.


No. 3
Compound: CaIr3C
Source: Alexandria via LeMat-Bulk
Functional: PBE
Structure: relaxed

Unit cell a=4.7643 b=4.7643 c=4.7643 alpha=90.00 beta=90.00 gamma=90.00
Last column: magnetic moment on the atom in μB.
Sites, in units of the cell vectors:
Ir 0.0000 0.5000 0.0000  0.39
Ir 0.0000 0.0000 0.5000  0.39
Ir 0.5000 0.0000 0.0000  0.26
C 0.5000 0.5000 0.5000  -0.12
Ca 0.0000 0.0000 0.0000  -0.02

## Properties
formation energy from the elements = 18.64 eV/f.u.
polymorph energy (0 for the lowest one) = 3719 meV/atom
uncorrected energy = -3.8333 eV per atom
volume = 108.14 Å³/f.u.


Question: Number 1 is which compound?
Answer: CaIrC


Question: Which formula does entry 1 have?
Answer: CaIrC


Question: Among the records above, which one has the lowest formation energy from the elements?
Answer: number 2


Question: Look up the volume of the third one.
Answer: 108.14 Å³/f.u.